Computed, not measured: a geometry-optimized Mg30CdNiO32 structure at the GGA+U level of DFT.

Uncorrected energy ... -5.874 eV/atom
Spin magnetization ... 0.029 μB/atom

Lattice parameters (Å, degrees): 8.5502 8.5502 8.5562 90.00 90.00 90.00
Space group P4/mmm (No. 123)
Unique sites:
1 Mg 0.0000 0.0000 0.0000
2 Mg 0.0000 0.2492 0.2501
3 Mg 0.0000 0.5000 0.0000
4 Mg 0.0000 0.5000 0.5000
5 Mg 0.2472 0.2472 0.5000
6 Mg 0.2477 0.5000 0.2477
7 Mg 0.2498 0.2498 0.0000
8 Mg 0.5000 0.5000 0.0000
9 Cd 0.5000 0.5000 0.5000
10 Ni 0.0000 0.0000 0.5000
11 O 0.0000 0.0000 0.2485
12 O 0.0000 0.2485 0.5000
13 O 0.0000 0.2493 0.0000
14 O 0.0000 0.5000 0.2484
15 O 0.2359 0.5000 0.5000
16 O 0.2479 0.5000 0.0000
17 O 0.2501 0.2501 0.2506
18 O 0.5000 0.5000 0.2359